This record from Alexandria describes a relaxed structure of CdCu2Rh. The functional is GGA-PBE.

Cell: 4.1337 2.7842 5.2840 Å, 74.71 90.00 90.00°
Last column: nearest neighbours and their distance in Å.
Element x y z (fractional)
Cu1 0.5000 0.0548 0.2610  2 Cu 2.45, 1 Cd 2.60, 4 Rh 2.70
Cu2 0.0000 0.1882 0.0035  2 Cu 2.45, 2 Rh 2.72-2.73
Cd1 0.5000 0.8026 0.7717  7 Cu 2.60-2.86, 2 Cd 2.78
Rh1 0.0000 0.4543 0.4638  7 Cu 2.70-2.75, 2 Rh 2.78, 4 Cd 2.94-2.95

Summary:
**Crystal system**: monoclinic
**Spin magnetization**: 0.0 μB per formula unit
**Formation energy from the elements**: 0.07 eV per atom



This record from Alexandria describes a relaxed structure of Cd2CuRh2. The functional is GGA-PBE.

Cell: 6.4420 6.4420 4.2138 Å, 90.00 90.00 90.00°
Last column: nearest neighbours and their distance in Å.
Element x y z (fractional)
Rh1 0.6374 0.1374 0.0000  2 Cu 2.50, 1 Rh 2.50, 2 Cd 2.75
Rh2 0.1374 0.3626 0.0000  2 Cu 2.50, 1 Rh 2.50, 2 Cd 2.75
Rh3 0.8626 0.6374 0.0000  2 Cu 2.50, 1 Rh 2.50, 2 Cd 2.75
Rh4 0.3626 0.8626 0.0000  2 Cu 2.50, 1 Rh 2.50, 2 Cd 2.75
Cu1 0.5000 0.5000 0.0000  4 Rh 2.50
Cu2 0.0000 0.0000 0.0000  4 Rh 2.50
Cd1 0.6689 0.8311 0.5000  6 Rh 2.75-2.89, 1 Cd 3.08
Cd2 0.1689 0.6689 0.5000  6 Rh 2.75-2.89, 1 Cd 3.08
Cd3 0.3311 0.1689 0.5000  6 Rh 2.75-2.89, 1 Cd 3.08
Cd4 0.8311 0.3311 0.5000  6 Rh 2.75-2.89, 1 Cd 3.08

Summary:
**Crystal system**: tetragonal
**Spin magnetization**: 0.0 μB per formula unit
**Formation energy from the elements**: 0.05 eV per atom



Among the records above, which one has the highest formation energy from the elements? CdCu2Rh